Arrangement P

Crystalline LiLaOs2 at its relaxed geometry, computed with PBE.

Structure (POSCAR):
```
LiLaOs2
1.0
-1.993 1.993 4.496
1.993 -1.993 4.496
1.993 1.993 -4.496
Li La Os
1 1 2
direct
0.000 0.000 0.000
0.500 0.500 0.000
0.250 0.750 0.500
0.750 0.250 0.500
```

## Properties
For the density of states at the Fermi level, the calculation gives 5.63 states/eV/cell. The calculation puts the volume at 17.85 Å³ per atom.


Arrangement Q

Crystalline LiLaOs2 at its relaxed geometry, computed with PBE.

Structure (POSCAR):
```
LiLaOs2
1.0
3.939 0.000 0.000
0.000 3.939 0.000
0.000 0.000 4.589
Li La Os
1 1 2
direct
0.000 0.000 0.000
0.500 0.500 0.000
0.000 0.500 0.500
0.500 0.000 0.500
```

## Properties
For the density of states at the Fermi level, the calculation gives 3.62 states/eV/cell. The calculation puts the volume at 17.80 Å³ per atom.


Sorted by energy, starting with the most stable: arrangement Q, arrangement P.